VASP calculation (PBE-GGA) on a geometry-optimized Tb2Dy5Ho4 structure.

Cell and atoms, written as POSCAR:
```
Tb2Dy5Ho4
1.0
-1.737 4.482 11.518
1.737 -4.482 11.518
1.737 4.482 -11.518
Tb Dy Ho
2 5 4
Direct
0.231 0.231 0.000
0.769 0.769 0.000
0.158 0.356 0.802
0.446 0.644 0.802
0.500 0.000 0.500
0.554 0.356 0.198
0.842 0.644 0.198
0.097 0.097 0.000
0.191 0.500 0.691
0.809 0.500 0.309
0.903 0.903 0.000
```

Its energy above the lowest structure with this stoichiometry is 209 meV/atom. The value obtained for the formation energy is 226.1 meV/atom. As for the space-group type: Immm. Its total magnetization is 0.00 μB/f.u.